Density functional theory data (PBE) for a geometry-optimized CaHfFeRu2 structure.

Lattice parameters (Å, degrees): 4.538 4.538 4.572 90.00 90.00 90.00
Fractional positions:
Ca 0.000 0.000 0.000
Hf 0.500 0.500 0.000
Fe 0.000 0.000 0.500
Ru 0.000 0.500 0.500
Ru 0.500 0.000 0.500

Properties
As for the density of states at the Fermi level: 1.1593 states/eV per atom. As for the calculated total energy: -6.971 eV/atom. As for the space group: P4/mmm, No. 123.